Material: Nd2ThNi
Method: DFT, PBE
State: optimized geometry

Properties
* N(E_F): 6.17 states/eV/cell
* energy relative to the elements: -0.050 eV/atom
* E above lowest polymorph: 0.0000 eV per atom
* E_tot: -5.735 eV per atom

Unit cell a=3.551 b=3.551 c=8.614 alpha=90.00 beta=90.00 gamma=90.00
Fractional coordinates of all 4 atoms:
1 Ni 0.500 0.500 0.000
2 Nd 0.000 0.000 0.803
3 Nd 0.000 0.000 0.197
4 Th 0.500 0.500 0.500

***

Material: NdTh2Ni6
Method: DFT, PBE
State: optimized geometry

Properties
* N(E_F): 12.80 states/eV/cell
* energy relative to the elements: -0.389 eV/atom
* E above lowest polymorph: 0.0000 eV per atom
* E_tot: -6.422 eV per atom

Unit cell a=3.824 b=7.081 c=7.081 alpha=120.00 beta=90.00 gamma=90.00
Fractional coordinates of all 9 atoms:
1 Nd 0.000 0.000 0.000
2 Th 0.000 0.333 0.667
3 Th 0.000 0.667 0.333
4 Ni 0.500 0.336 0.336
5 Ni 0.500 0.664 0.664
6 Ni 0.500 0.000 0.664
7 Ni 0.500 0.664 0.000
8 Ni 0.500 0.336 0.000
9 Ni 0.500 0.000 0.336